(1)
Entry from Alexandria: an optimized crystal structure of CeCuH6Rh (PBE).

Computed properties:
Calculated total energy ... -40.35 eV per cell

CIF file:
```
data_CeCuH6Rh
_chemical_formula_sum 'Ce1 Cu1 H6 Rh1'
_cell_length_a 4.5957
_cell_length_b 4.5957
_cell_length_c 4.3539
_cell_angle_alpha 90.00
_cell_angle_beta 90.00
_cell_angle_gamma 120.00
_symmetry_space_group_name_H-M 'P 1'
_symmetry_Int_Tables_number 1
_symmetry_space_group_name_Hall 'P 1'
loop_
_atom_site_label
_atom_site_type_symbol
_atom_site_fract_x
_atom_site_fract_y
_atom_site_fract_z
Ce1 Ce 0.0000 0.0000 0.0000
Cu1 Cu 0.3333 0.6667 0.5000
H1 H 0.5023 0.0045 0.2389
H2 H 0.5023 0.0045 0.7611
H3 H 0.5023 0.4977 0.2389
H4 H 0.5023 0.4977 0.7611
H5 H 0.9955 0.4977 0.2389
H6 H 0.9955 0.4977 0.7611
Rh1 Rh 0.6667 0.3333 0.5000
```

(2)
Entry from Alexandria: an optimized crystal structure of Tm2Al4IrPt3 (PBE).

Computed properties:
Calculated total energy ... -61.59 eV per cell
Calculated formation energy ... -1.069 eV per atom

CIF file:
```
data_Tm2Al4IrPt3
_chemical_formula_sum 'Tm2 Al4 Ir1 Pt3'
_cell_length_a 4.1395
_cell_length_b 4.1395
_cell_length_c 10.5735
_cell_angle_alpha 90.00
_cell_angle_beta 90.00
_cell_angle_gamma 90.00
_symmetry_space_group_name_H-M 'P 1'
_symmetry_Int_Tables_number 1
_symmetry_space_group_name_Hall 'P 1'
loop_
_atom_site_label
_atom_site_type_symbol
_atom_site_fract_x
_atom_site_fract_y
_atom_site_fract_z
Tm1 Tm 0.0000 0.5000 0.2415
Tm2 Tm 0.5000 0.0000 0.7585
Al1 Al 0.0000 0.0000 0.5000
Al2 Al 0.0000 0.5000 0.8713
Al3 Al 0.5000 0.0000 0.1287
Al4 Al 0.5000 0.5000 0.5000
Ir1 Ir 0.5000 0.5000 0.0000
Pt1 Pt 0.0000 0.0000 0.0000
Pt2 Pt 0.0000 0.5000 0.6390
Pt3 Pt 0.5000 0.0000 0.3610
```

(3)
Entry from Alexandria: an optimized crystal structure of BePt (PBE).

Computed properties:
Calculated total energy ... -22.30 eV per cell
Calculated formation energy ... -0.691 eV per atom

CIF file:
```
data_BePt
_chemical_formula_sum 'Be2 Pt2'
_cell_length_a 2.8062
_cell_length_b 3.8231
_cell_length_c 4.5254
_cell_angle_alpha 90.00
_cell_angle_beta 105.38
_cell_angle_gamma 90.00
_symmetry_space_group_name_H-M 'P 1'
_symmetry_Int_Tables_number 1
_symmetry_space_group_name_Hall 'P 1'
loop_
_atom_site_label
_atom_site_type_symbol
_atom_site_fract_x
_atom_site_fract_y
_atom_site_fract_z
Be1 Be 0.0736 0.2500 0.1622
Be2 Be 0.9264 0.7500 0.8378
Pt1 Pt 0.3819 0.2500 0.7128
Pt2 Pt 0.6181 0.7500 0.2872
```